Version A
VASP calculation (GGA-PBE) on crystalline KMgNiBi at its relaxed geometry.

The space group is F-43m (No. 216) and the conventional cell measures 7.126, 7.126 and 7.126 Å, with angles of 90.00, 90.00 and 90.00 degrees. The inequivalent atoms are K at (0.000, 0.000, 0.000), Mg at (0.250, 0.250, 0.250), Ni at (0.000, 0.000, 0.500) and Bi at (0.250, 0.250, 0.750).

Version B
VASP calculation (GGA-PBE) on crystalline KMgNiBi at its relaxed geometry.

The space group is F-43m (No. 216) and the conventional cell measures 7.161, 7.161 and 7.161 Å, with angles of 90.00, 90.00 and 90.00 degrees. The inequivalent atoms are K at (0.000, 0.000, 0.000), Mg at (0.250, 0.250, 0.250), Ni at (0.250, 0.250, 0.750) and Bi at (0.000, 0.000, 0.500).

Stability summary: most stable version A, least stable version B.

Version A
VASP calculation (GGA-PBE) on crystalline KMgBiPd at its relaxed geometry.

The space group is F-43m (No. 216) and the conventional cell measures 7.316, 7.316 and 7.316 Å, with angles of 90.00, 90.00 and 90.00 degrees. The inequivalent atoms are K at (0.000, 0.000, 0.000), Mg at (0.250, 0.250, 0.250), Bi at (0.000, 0.000, 0.500) and Pd at (0.250, 0.250, 0.750).

Version B
VASP calculation (GGA-PBE) on crystalline KMgBiPd at its relaxed geometry.

The space group is F-43m (No. 216) and the conventional cell measures 7.230, 7.230 and 7.230 Å, with angles of 90.00, 90.00 and 90.00 degrees. The inequivalent atoms are K at (0.000, 0.000, 0.000), Mg at (0.250, 0.250, 0.250), Bi at (0.250, 0.250, 0.750) and Pd at (0.000, 0.000, 0.500).

Stability summary: most stable version B, least stable version A.

Version A
VASP calculation (GGA-PBE) on crystalline LaMgBiOs at its relaxed geometry.

The space group is F-43m (No. 216) and the conventional cell measures 7.107, 7.107 and 7.107 Å, with angles of 90.00, 90.00 and 90.00 degrees. The inequivalent atoms are La at (0.000, 0.000, 0.000), Mg at (0.250, 0.250, 0.750), Bi at (0.250, 0.250, 0.250) and Os at (0.000, 0.000, 0.500).

Version B
VASP calculation (GGA-PBE) on crystalline LaMgBiOs at its relaxed geometry.

The space group is F-43m (No. 216) and the conventional cell measures 7.096, 7.096 and 7.096 Å, with angles of 90.00, 90.00 and 90.00 degrees. The inequivalent atoms are La at (0.000, 0.000, 0.000), Mg at (0.250, 0.250, 0.750), Bi at (0.000, 0.000, 0.500) and Os at (0.250, 0.250, 0.250).

Stability summary: most stable version B, least stable version A.

Version A
VASP calculation (GGA-PBE) on crystalline LaReBi at its relaxed geometry.

The space group is F-43m (No. 216) and the conventional cell measures 7.195, 7.195 and 7.195 Å, with angles of 90.00, 90.00 and 90.00 degrees. The inequivalent atoms are La at (0.000, 0.000, 0.000), Re at (0.250, 0.250, 0.250) and Bi at (0.250, 0.250, 0.750).

Version B
VASP calculation (GGA-PBE) on crystalline LaReBi at its relaxed geometry.

The space group is F-43m (No. 216) and the conventional cell measures 6.867, 6.867 and 6.867 Å, with angles of 90.00, 90.00 and 90.00 degrees. The inequivalent atoms are La at (0.000, 0.000, 0.000), Re at (0.250, 0.250, 0.750) and Bi at (0.000, 0.000, 0.500).

Stability summary: most stable version B, least stable version A.

Version A
VASP calculation (GGA-PBE) on crystalline LaTcBi at its relaxed geometry.

The space group is F-43m (No. 216) and the conventional cell measures 7.218, 7.218 and 7.218 Å, with angles of 90.00, 90.00 and 90.00 degrees. The inequivalent atoms are La at (0.000, 0.000, 0.000), Tc at (0.250, 0.250, 0.250) and Bi at (0.250, 0.250, 0.750).

Version B
VASP calculation (GGA-PBE) on crystalline LaTcBi at its relaxed geometry.

The space group is F-43m (No. 216) and the conventional cell measures 6.839, 6.839 and 6.839 Å, with angles of 90.00, 90.00 and 90.00 degrees. The inequivalent atoms are La at (0.000, 0.000, 0.000), Tc at (0.250, 0.250, 0.750) and Bi at (0.000, 0.000, 0.500).

Stability summary: most stable version B, least stable version A.

Version A
VASP calculation (GGA-PBE) on crystalline LaBiW at its relaxed geometry.

The space group is F-43m (No. 216) and the conventional cell measures 7.358, 7.358 and 7.358 Å, with angles of 90.00, 90.00 and 90.00 degrees. The inequivalent atoms are La at (0.000, 0.000, 0.000), Bi at (0.250, 0.250, 0.750) and W at (0.250, 0.250, 0.250).

Version B
VASP calculation (GGA-PBE) on crystalline LaBiW at its relaxed geometry.

The space group is F-43m (No. 216) and the conventional cell measures 6.912, 6.912 and 6.912 Å, with angles of 90.00, 90.00 and 90.00 degrees. The inequivalent atoms are La at (0.000, 0.000, 0.000), Bi at (0.000, 0.000, 0.500) and W at (0.250, 0.250, 0.750).

Stability summary: most stable version B, least stable version A.

Version A
VASP calculation (GGA-PBE) on crystalline LiLuBi at its relaxed geometry.

The space group is F-43m (No. 216) and the conventional cell measures 6.599, 6.599 and 6.599 Å, with angles of 90.00, 90.00 and 90.00 degrees. The inequivalent atoms are Li at (0.000, 0.000, 0.000), Lu at (0.250, 0.250, 0.250) and Bi at (0.250, 0.250, 0.750).

Version B
VASP calculation (GGA-PBE) on crystalline LiLuBi at its relaxed geometry.

The space group is F-43m (No. 216) and the conventional cell measures 7.072, 7.072 and 7.072 Å, with angles of 90.00, 90.00 and 90.00 degrees. The inequivalent atoms are Li at (0.000, 0.000, 0.000), Lu at (0.250, 0.250, 0.750) and Bi at (0.000, 0.000, 0.500).

Stability summary: most stable version A, least stable version B.

Version A
VASP calculation (GGA-PBE) on crystalline LiMgZnBi at its relaxed geometry.

The space group is F-43m (No. 216) and the conventional cell measures 7.006, 7.006 and 7.006 Å, with angles of 90.00, 90.00 and 90.00 degrees. The inequivalent atoms are Li at (0.000, 0.000, 0.000), Mg at (0.250, 0.250, 0.750), Zn at (0.000, 0.000, 0.500) and Bi at (0.250, 0.250, 0.250).

Version B
VASP calculation (GGA-PBE) on crystalline LiMgZnBi at its relaxed geometry.

The space group is F-43m (No. 216) and the conventional cell measures 6.994, 6.994 and 6.994 Å, with angles of 90.00, 90.00 and 90.00 degrees. The inequivalent atoms are Li at (0.000, 0.000, 0.000), Mg at (0.000, 0.000, 0.500), Zn at (0.250, 0.250, 0.250) and Bi at (0.250, 0.250, 0.750).

Stability summary: most stable version B, least stable version A.